(1)
## YIn3Ni8 (PBE-GGA)

Data for a relaxed YIn3Ni8 crystal.

Cell and atoms, written as CIF:
```
data_YIn3Ni8
_space_group_name_H-M_alt 'R 3 m'
_space_group_IT_number 160
_space_group_name_Hall 'R 3 -2"'
_cell_length_a 4.9531
_cell_length_b 4.9531
_cell_length_c 24.4287
_cell_angle_alpha 90.00
_cell_angle_beta 90.00
_cell_angle_gamma 120.00
loop_
_atom_site_label
_atom_site_type_symbol
_atom_site_fract_x
_atom_site_fract_y
_atom_site_fract_z
Y1 Y 0.0000 0.0000 0.0000
In1 In 0.0000 0.0000 0.1256
In2 In 0.0000 0.0000 0.4980
In3 In 0.0000 0.0000 0.6207
Ni1 Ni 0.0000 0.0000 0.3115
Ni2 Ni 0.0000 0.0000 0.8118
Ni3 Ni 0.0004 0.5002 0.0631
Ni4 Ni 0.1681 0.3363 0.8940
```

Results
ΔE_f	-2.49	eV per formula unit

(2)
## Y2In2Ni (PBE-GGA)

Data for a relaxed Y2In2Ni crystal.

Cell and atoms, written as CIF:
```
data_Y2In2Ni
_space_group_name_H-M_alt 'P 4/m b m'
_space_group_IT_number 127
_space_group_name_Hall '-P 4 2ab'
_cell_length_a 7.162
_cell_length_b 7.162
_cell_length_c 4.721
_cell_angle_alpha 90.00
_cell_angle_beta 90.00
_cell_angle_gamma 90.00
loop_
_atom_site_label
_atom_site_type_symbol
_atom_site_fract_x
_atom_site_fract_y
_atom_site_fract_z
Y1 Y 0.167 0.333 0.000
In1 In 0.145 0.645 0.500
Ni1 Ni 0.000 0.000 0.500
```

Results
ΔE_f	-1.45	eV per formula unit
relative energy among the computed polymorphs	0	meV per atom

(3)
## YInNi (PBE-GGA)

Data for a relaxed YInNi crystal.

Cell and atoms, written as CIF:
```
data_YInNi
_space_group_name_H-M_alt 'F -4 3 m'
_space_group_IT_number 216
_space_group_name_Hall 'F -4 2 3'
_cell_length_a 6.752
_cell_length_b 6.752
_cell_length_c 6.752
_cell_angle_alpha 90.00
_cell_angle_beta 90.00
_cell_angle_gamma 90.00
loop_
_atom_site_label
_atom_site_type_symbol
_atom_site_fract_x
_atom_site_fract_y
_atom_site_fract_z
Y1 Y 0.000 0.000 0.000
In1 In 0.250 0.250 0.750
Ni1 Ni 0.250 0.250 0.250
```

Results
ΔE_f	1.01	eV per formula unit

(4)
## Y2In5Ni3 (PBE-GGA)

Data for a relaxed Y2In5Ni3 crystal.

Cell and atoms, written as CIF:
```
data_Y2In5Ni3
_space_group_name_H-M_alt 'C m c 21'
_space_group_IT_number 36
_cell_length_a 4.380
_cell_length_b 26.137
_cell_length_c 7.096
_cell_angle_alpha 90.00
_cell_angle_beta 90.00
_cell_angle_gamma 90.00
loop_
_space_group_symop_operation_xyz
'x,y,z'
'-x,-y,z+1/2'
'-x,y,z'
'x,-y,z+1/2'
'x+1/2,y+1/2,z'
'-x+1/2,-y+1/2,z+1/2'
'-x+1/2,y+1/2,z'
'x+1/2,-y+1/2,z+1/2'
loop_
_atom_site_label
_atom_site_type_symbol
_atom_site_fract_x
_atom_site_fract_y
_atom_site_fract_z
Y1 Y 0.000 0.024 0.000
Y2 Y 0.000 0.326 0.930
In1 In 0.000 0.096 0.627
In2 In 0.000 0.206 0.134
In3 In 0.000 0.210 0.722
In4 In 0.000 0.375 0.471
In5 In 0.000 0.448 0.829
Ni1 Ni 0.000 0.110 0.249
Ni2 Ni 0.000 0.272 0.425
Ni3 Ni 0.000 0.455 0.221
```

Results
ΔE_f	-3.74	eV per formula unit

(5)
## YIn7Ni5 (PBE-GGA)

Data for a relaxed YIn7Ni5 crystal.

Cell and atoms, written as CIF:
```
data_YIn7Ni5
_space_group_name_H-M_alt 'I m m 2'
_space_group_IT_number 44
_cell_length_a 5.452
_cell_length_b 9.316
_cell_length_c 9.257
_cell_angle_alpha 90.00
_cell_angle_beta 90.00
_cell_angle_gamma 90.00
loop_
_space_group_symop_operation_xyz
'x,y,z'
'-x,-y,z'
'-x,y,z'
'x,-y,z'
'x+1/2,y+1/2,z+1/2'
'-x+1/2,-y+1/2,z+1/2'
'-x+1/2,y+1/2,z+1/2'
'x+1/2,-y+1/2,z+1/2'
loop_
_atom_site_label
_atom_site_type_symbol
_atom_site_fract_x
_atom_site_fract_y
_atom_site_fract_z
Y1 Y 0.000 0.000 0.000
In1 In 0.000 0.000 0.345
In2 In 0.000 0.000 0.673
In3 In 0.000 0.307 0.483
In4 In 0.000 0.337 0.021
In5 In 0.000 0.500 0.731
Ni1 Ni 0.000 0.500 0.266
Ni2 Ni 0.243 0.253 0.750
```

Results
ΔE_f	-2.31	eV per formula unit

(6)
## Y2InNi (PBE-GGA)

Data for a relaxed Y2InNi crystal.

Cell and atoms, written as CIF:
```
data_Y2InNi
_space_group_name_H-M_alt 'C 1 2/m 1'
_space_group_IT_number 12
_cell_length_a 6.581
_cell_length_b 3.718
_cell_length_c 8.651
_cell_angle_alpha 90.00
_cell_angle_beta 103.74
_cell_angle_gamma 90.00
loop_
_space_group_symop_operation_xyz
'x,y,z'
'-x,-y,-z'
'-x,y,-z'
'x,-y,z'
'x+1/2,y+1/2,z'
'-x+1/2,-y+1/2,-z'
'-x+1/2,y+1/2,-z'
'x+1/2,-y+1/2,z'
loop_
_atom_site_label
_atom_site_type_symbol
_atom_site_fract_x
_atom_site_fract_y
_atom_site_fract_z
Y1 Y 0.233 0.000 0.199
In1 In 0.000 0.000 0.500
Ni1 Ni 0.000 0.500 0.000
```

Results
ΔE_f	-1.13	eV per formula unit

(7)
## Y3In4Ni2 (PBE-GGA)

Data for a relaxed Y3In4Ni2 crystal.

Cell and atoms, written as CIF:
```
data_Y3In4Ni2
_space_group_name_H-M_alt 'C 1 2/m 1'
_space_group_IT_number 12
_cell_length_a 11.088
_cell_length_b 4.586
_cell_length_c 8.923
_cell_angle_alpha 90.00
_cell_angle_beta 115.47
_cell_angle_gamma 90.00
loop_
_space_group_symop_operation_xyz
'x,y,z'
'-x,-y,-z'
'-x,y,-z'
'x,-y,z'
'x+1/2,y+1/2,z'
'-x+1/2,-y+1/2,-z'
'-x+1/2,y+1/2,-z'
'x+1/2,-y+1/2,z'
loop_
_atom_site_label
_atom_site_type_symbol
_atom_site_fract_x
_atom_site_fract_y
_atom_site_fract_z
Y1 Y 0.000 0.000 0.000
Y2 Y 0.184 0.500 0.631
In1 In 0.024 0.000 0.354
In2 In 0.225 0.500 0.081
Ni1 Ni 0.095 0.500 0.267
```

Results
ΔE_f	-3.88	eV per formula unit

(8)
## Y4InNi (PBE-GGA)

Data for a relaxed Y4InNi crystal.

Cell and atoms, written as CIF:
```
data_Y4InNi
_space_group_name_H-M_alt 'F -4 3 m'
_space_group_IT_number 216
_space_group_name_Hall 'F -4 2 3'
_cell_length_a 13.632
_cell_length_b 13.632
_cell_length_c 13.632
_cell_angle_alpha 90.00
_cell_angle_beta 90.00
_cell_angle_gamma 90.00
loop_
_atom_site_label
_atom_site_type_symbol
_atom_site_fract_x
_atom_site_fract_y
_atom_site_fract_z
Y1 Y 0.000 0.000 0.188
Y2 Y 0.062 0.250 0.250
Y3 Y 0.151 0.151 0.651
In1 In 0.083 0.083 0.417
Ni1 Ni 0.143 0.143 0.857
```

Results
ΔE_f	-2.22	eV per formula unit
relative energy among the computed polymorphs	0	meV per atom